Here is a geometry-optimized Nd2VO6 structure from the Alexandria database. Energies are from PBE+U.

```
Nd2VO6
1.0
5.465 0.000 0.000
0.000 6.249 0.000
-4.558 0.000 7.346
Nd V O
4 2 12
Direct
0.208 0.098 0.250
0.208 0.402 0.750
0.792 0.598 0.250
0.792 0.902 0.750
0.500 0.000 0.000
0.500 0.500 0.500
0.160 0.145 0.950
0.160 0.355 0.450
0.298 0.731 0.933
0.298 0.769 0.433
0.399 0.049 0.761
0.399 0.451 0.261
0.601 0.549 0.739
0.601 0.951 0.239
0.702 0.231 0.567
0.702 0.269 0.067
0.840 0.645 0.550
0.840 0.855 0.050
```

Calculated values
The space-group type is P2_1/c, No. 14. As for the crystal system: monoclinic. The calculation puts the calculated total energy at -7.75 eV per atom.